Version a
Here is a geometry-optimized TaAlAg2 structure from Alexandria. Energies are from PBE.

Cell lengths 5.6358, 5.6358, 5.6358 Å; angles 150.13, 128.01, 61.12 degrees
With the nearest neighbours (Å) after each atom.
Atoms (fractional coordinates):
1 Ag 0.9955 0.9955 0.0000  4 Al 2.87, 4 Ag 2.90-2.91, 2 Ta 2.97
2 Ag 0.7361 0.2361 0.5000  2 Al 2.67, 4 Ta 2.88, 4 Ag 2.90-2.91
3 Ta 0.2627 0.7627 0.5000  2 Al 2.77, 6 Ag 2.88-2.97, 2 Ta 2.90
4 Al 0.5057 0.5057 0.0000  6 Ag 2.67-2.87, 2 Ta 2.77, 2 Al 2.90

Values from the calculation:
**Volume**: 69.6 Å³ per cell

---

Version b
Here is a geometry-optimized TaAlAg2 structure from Alexandria. Energies are from PBE.

Cell lengths 2.9643, 2.9643, 7.7469 Å; angles 90.00, 90.00, 90.00 degrees
With the nearest neighbours (Å) after each atom.
Atoms (fractional coordinates):
1 Ta 0.5000 0.5000 0.7500  8 Ag 2.96, 4 Ta 2.96
2 Ag 0.0000 0.0000 0.0191  4 Al 2.76, 4 Ta 2.96, 4 Ag 2.96
3 Ag 0.0000 0.0000 0.4809  4 Al 2.76, 4 Ta 2.96, 4 Ag 2.96
4 Al 0.5000 0.5000 0.2500  8 Ag 2.76, 4 Al 2.96

Values from the calculation:
**Volume**: 68.1 Å³ per cell

---

Computed relative energies in units of meV per atom: version a 68; version b 0

---

Version a
Here is a geometry-optimized TaAlAg2 structure from Alexandria. Energies are from PBE.

Cell lengths 9.6906, 9.6906, 9.6906 Å; angles 17.16, 17.16, 17.16 degrees
With the nearest neighbours (Å) after each atom.
Atoms (fractional coordinates):
1 Ta 0.7500 0.7500 0.7500  6 Ta 2.89, 6 Ag 3.01
2 Ag 0.9957 0.9957 0.9957  3 Al 2.81, 6 Ag 2.89, 3 Ta 3.01
3 Ag 0.5043 0.5043 0.5043  3 Al 2.81, 6 Ag 2.89, 3 Ta 3.01
4 Al 0.2500 0.2500 0.2500  6 Ag 2.81, 6 Al 2.89

Values from the calculation:
**Volume**: 69.1 Å³ per cell

---

Version b
Here is a geometry-optimized TaAlAg2 structure from Alexandria. Energies are from PBE.

Cell lengths 3.8535, 3.8535, 10.4317 Å; angles 79.36, 79.36, 90.00 degrees
With the nearest neighbours (Å) after each atom.
Atoms (fractional coordinates):
1 Ag 0.3750 0.3789 0.7500  4 Ag 2.70-2.75, 2 Al 2.86, 2 Ta 2.87
2 Ag 0.1289 0.6250 0.2500  4 Ag 2.70-2.75, 2 Al 2.86, 2 Ta 2.87
3 Ag 0.8750 0.8711 0.7500  4 Ag 2.70-2.75, 2 Al 2.86, 2 Ta 2.87
4 Ag 0.6211 0.1250 0.2500  4 Ag 2.70-2.75, 2 Al 2.86, 2 Ta 2.87
5 Ta 0.0000 0.0000 0.0000  4 Al 2.72, 4 Ag 2.87
6 Ta 0.7500 0.2500 0.5000  4 Al 2.72, 4 Ag 2.87
7 Al 0.5000 0.5000 0.0000  4 Ta 2.72, 4 Ag 2.86
8 Al 0.2500 0.7500 0.5000  4 Ta 2.72, 4 Ag 2.86

Values from the calculation:
**Volume**: 149.5 Å³ per cell

---

Computed relative energies in units of meV per atom: version a 0; version b 308

---

Version a
Here is a geometry-optimized TaAlAg2 structure from Alexandria. Energies are from PBE.

Cell lengths 2.8328, 3.9022, 6.2581 Å; angles 90.00, 90.00, 90.00 degrees
With the nearest neighbours (Å) after each atom.
Atoms (fractional coordinates):
1 Ag 0.0000 0.0000 0.0034  6 Ag 2.83-2.89, 4 Ta 2.92, 2 Al 3.10-3.16
2 Ag 0.5000 0.5000 0.2580  6 Ag 2.83-2.89, 4 Al 2.84, 1 Ta 3.01
3 Ta 0.5000 0.5000 0.7394  2 Ta 2.83, 4 Al 2.84, 5 Ag 2.92-3.01
4 Al 0.0000 0.0000 0.4992  2 Al 2.83, 4 Ta 2.84, 6 Ag 2.84-3.16

Values from the calculation:
**Volume**: 69.2 Å³ per cell

---

Version b
Here is a geometry-optimized TaAlAg2 structure from Alexandria. Energies are from PBE.

Cell lengths 5.2501, 5.2501, 2.8021 Å; angles 90.00, 90.00, 114.57 degrees
With the nearest neighbours (Å) after each atom.
Atoms (fractional coordinates):
1 Ta 0.0000 0.5000 0.5000  2 Ta 2.80, 2 Al 2.84, 8 Ag 2.98
2 Ag 0.5000 0.5000 0.0000  4 Ag 2.80-2.84, 4 Al 2.98, 4 Ta 2.98
3 Ag 0.0000 0.0000 0.0000  4 Ag 2.80-2.84, 4 Ta 2.98, 4 Al 2.98
4 Al 0.5000 0.0000 0.5000  2 Al 2.80, 2 Ta 2.84, 8 Ag 2.98

Values from the calculation:
**Volume**: 70.2 Å³ per cell

---

Version c
Here is a geometry-optimized TaAlAg2 structure from Alexandria. Energies are from PBE.

Cell lengths 4.6096, 4.6096, 4.6098 Å; angles 120.00, 120.00, 90.00 degrees
With the nearest neighbours (Å) after each atom.
Atoms (fractional coordinates):
1 Ag 0.2500 0.7500 0.5000  4 Al 2.82, 4 Ag 2.82
2 Ag 0.0000 0.0000 0.0000  4 Ta 2.82, 4 Ag 2.82
3 Ta 0.7500 0.2500 0.5000  4 Al 2.82, 4 Ag 2.82
4 Al 0.5000 0.5000 0.0000  4 Ta 2.82, 4 Ag 2.82

Values from the calculation:
**Volume**: 69.3 Å³ per cell

---

Computed relative energies in units of meV per atom: version a 0; version b 144; version c 181

---

Version a
Here is a geometry-optimized TaAlAg2 structure from Alexandria. Energies are from PBE.

Cell lengths 4.5893, 2.8462, 5.3675 Å; angles 81.29, 90.00, 90.00 degrees
With the nearest neighbours (Å) after each atom.
Atoms (fractional coordinates):
1 Ag 0.0000 0.4034 0.4937  2 Al 2.71, 5 Ag 2.76-3.03, 2 Ta 2.92
2 Ag 0.0000 0.0966 0.0063  2 Al 2.71, 5 Ag 2.76-3.03, 2 Ta 2.92
3 Ta 0.5000 0.7500 0.7500  2 Al 2.84, 2 Ta 2.85, 8 Ag 2.92-3.14
4 Al 0.5000 0.2500 0.2500  4 Ag 2.71, 2 Ta 2.84, 2 Al 2.85

Values from the calculation:
**Volume**: 69.3 Å³ per cell

---

Version b
Here is a geometry-optimized TaAlAg2 structure from Alexandria. Energies are from PBE.

Cell lengths 3.9529, 3.9529, 4.4440 Å; angles 90.00, 90.00, 90.00 degrees
With the nearest neighbours (Å) after each atom.
Atoms (fractional coordinates):
1 Ta 0.0000 0.5000 0.5000  4 Al 2.80, 8 Ag 2.97
2 Ag 0.0000 0.0000 0.0000  4 Ag 2.80, 4 Al 2.97, 4 Ta 2.97
3 Ag 0.5000 0.5000 0.0000  4 Ag 2.80, 4 Ta 2.97, 4 Al 2.97
4 Al 0.5000 0.0000 0.5000  4 Ta 2.80, 8 Ag 2.97

Values from the calculation:
**Volume**: 69.4 Å³ per cell

---

Version c
Here is a geometry-optimized TaAlAg2 structure from Alexandria. Energies are from PBE.

Cell lengths 5.1177, 5.1177, 5.1177 Å; angles 133.55, 133.55, 67.79 degrees
With the nearest neighbours (Å) after each atom.
Atoms (fractional coordinates):
1 Al 0.2500 0.7500 0.5000  4 Ta 2.85, 8 Ag 2.93
2 Ag 0.5000 0.5000 0.0000  4 Ag 2.85, 4 Al 2.93, 4 Ta 2.93
3 Ag 0.0000 0.0000 0.0000  4 Ag 2.85, 4 Ta 2.93, 4 Al 2.93
4 Ta 0.7500 0.2500 0.5000  4 Al 2.85, 8 Ag 2.93

Values from the calculation:
**Volume**: 69.2 Å³ per cell

---

Computed relative energies in units of meV per atom: version a 0; version b 42; version c 113

---

Version a
Here is a geometry-optimized TaAlAg structure from Alexandria. Energies are from PBE.

Cell lengths 4.4610, 4.4610, 2.9675 Å; angles 90.00, 90.00, 120.00 degrees
With the nearest neighbours (Å) after each atom.
Atoms (fractional coordinates):
1 Ta 0.3333 0.6667 0.6669  2 Ta 2.97, 6 Ag 2.97, 6 Al 2.97
2 Ag 0.0000 0.0000 0.1658  3 Al 2.58
3 Al 0.6667 0.3333 0.1673  3 Ag 2.58

Values from the calculation:
**Volume**: 51.1 Å³ per cell

---

Version b
Here is a geometry-optimized TaAlAg structure from Alexandria. Energies are from PBE.

Cell lengths 4.4696, 4.4696, 4.4696 Å; angles 60.00, 60.00, 60.00 degrees
With the nearest neighbours (Å) after each atom.
Atoms (fractional coordinates):
1 Ag 0.0000 0.0000 0.0000  4 Ta 2.74
2 Al 0.5000 0.5000 0.5000  4 Ta 2.74
3 Ta 0.7500 0.7500 0.7500  4 Al 2.74, 4 Ag 2.74

Values from the calculation:
**Volume**: 63.1 Å³ per cell

---

Version c
Here is a geometry-optimized TaAlAg structure from Alexandria. Energies are from PBE.

Cell lengths 2.9021, 2.9021, 7.1197 Å; angles 90.00, 90.00, 120.00 degrees
With the nearest neighbours (Å) after each atom.
Atoms (fractional coordinates):
1 Al 0.6667 0.3333 0.3316  3 Ag 2.84, 3 Ta 2.87, 6 Al 2.90
2 Ta 0.3333 0.6667 0.6582  3 Al 2.87, 6 Ta 2.90, 3 Ag 3.01
3 Ag 0.0000 0.0000 0.0101  3 Al 2.84, 6 Ag 2.90, 3 Ta 3.01

Values from the calculation:
**Volume**: 51.9 Å³ per cell

---

Computed relative energies in units of meV per atom: version a 24; version b 734; version c 0